(1)
This record from Alexandria via LeMat-Bulk describes a relaxed K2HfBi crystal. The functional is PBE.

Structure (CIF):
```
data_K2HfBi
_chemical_formula_sum 'K8 Hf4 Bi4'
_symmetry_space_group_name_H-M 'I -4 2 d'
_symmetry_Int_Tables_number 122
_symmetry_space_group_name_Hall 'I -4 2bw'
_cell_length_a 12.835
_cell_length_b 12.835
_cell_length_c 5.659
_cell_angle_alpha 90.00
_cell_angle_beta 90.00
_cell_angle_gamma 90.00
loop_
_atom_site_label
_atom_site_type_symbol
_atom_site_fract_x
_atom_site_fract_y
_atom_site_fract_z
_atom_site_occupancy
K1 K 0.104 0.250 0.125 1
Hf1 Hf 0.000 0.000 0.500 1
Bi1 Bi 0.000 0.000 0.000 1
```

Properties
**E**: -3.46 eV/atom
**D(E_F)**: 0.432 states/eV per atom

---

(2)
This record from Alexandria via LeMat-Bulk describes a relaxed Tc3NiB crystal. The functional is PBE.

Structure (CIF):
```
data_Tc3NiB
_chemical_formula_sum 'Tc3 Ni1 B1'
_symmetry_space_group_name_H-M 'P m -3 m'
_symmetry_Int_Tables_number 221
_symmetry_space_group_name_Hall '-P 4 2 3'
_cell_length_a 4.382
_cell_length_b 4.382
_cell_length_c 4.382
_cell_angle_alpha 90.00
_cell_angle_beta 90.00
_cell_angle_gamma 90.00
loop_
_atom_site_label
_atom_site_type_symbol
_atom_site_fract_x
_atom_site_fract_y
_atom_site_fract_z
_atom_site_occupancy
Tc1 Tc 0.000 0.000 0.500 1
Ni1 Ni 0.000 0.000 0.000 1
B1 B 0.500 0.500 0.500 1
```

Properties
**E**: -6.46 eV/atom
**Energy relative to the lowest polymorph listed for this composition**: 937.3 kJ/mol of formula units
**D(E_F)**: 1.739 states/eV per atom

---

(3)
This record from Alexandria via LeMat-Bulk describes a relaxed Ce15TlPb4 crystal. The functional is PBE.

Structure (CIF):
```
data_Ce15TlPb4
_chemical_formula_sum 'Ce15 Tl1 Pb4'
_symmetry_space_group_name_H-M 'P 4/m m m'
_symmetry_Int_Tables_number 123
_symmetry_space_group_name_Hall '-P 4 2'
_cell_length_a 4.837
_cell_length_b 4.837
_cell_length_c 24.088
_cell_angle_alpha 90.00
_cell_angle_beta 90.00
_cell_angle_gamma 90.00
loop_
_atom_site_label
_atom_site_type_symbol
_atom_site_fract_x
_atom_site_fract_y
_atom_site_fract_z
_atom_site_occupancy
Ce1 Ce 0.000 0.000 0.000 1
Ce2 Ce 0.000 0.000 0.199 1
Ce3 Ce 0.000 0.000 0.400 1
Ce4 Ce 0.000 0.500 0.100 1
Ce5 Ce 0.000 0.500 0.300 1
Ce6 Ce 0.000 0.500 0.500 1
Tl1 Tl 0.500 0.500 0.000 1
Pb1 Pb 0.500 0.500 0.200 1
Pb2 Pb 0.500 0.500 0.400 1
```

Properties
**E**: -5.55 eV/atom
**D(E_F)**: 3.113 states/eV per atom

---

(4)
This record from Alexandria via LeMat-Bulk describes a relaxed Li2TbCd4 crystal. The functional is PBE.

Structure (CIF):
```
data_Li2TbCd4
_chemical_formula_sum 'Li4 Tb2 Cd8'
_symmetry_space_group_name_H-M 'I m m m'
_symmetry_Int_Tables_number 71
_symmetry_space_group_name_Hall '-I 2 2'
_cell_length_a 5.394
_cell_length_b 7.431
_cell_length_c 7.477
_cell_angle_alpha 90.00
_cell_angle_beta 90.00
_cell_angle_gamma 90.00
loop_
_atom_site_label
_atom_site_type_symbol
_atom_site_fract_x
_atom_site_fract_y
_atom_site_fract_z
_atom_site_occupancy
Li1 Li 0.249 0.000 0.000 1
Tb1 Tb 0.000 0.500 0.000 1
Cd1 Cd 0.000 0.197 0.305 1
```

Properties
**E**: -2.01 eV/atom
**D(E_F)**: 0.370 states/eV per atom

---

(5)
This record from Alexandria via LeMat-Bulk describes a relaxed SmMg6Ag4 crystal. The functional is PBE.

Structure (CIF):
```
data_SmMg6Ag4
_chemical_formula_sum 'Sm1 Mg6 Ag4'
_symmetry_space_group_name_H-M 'P -6 m 2'
_symmetry_Int_Tables_number 187
_symmetry_space_group_name_Hall 'P -6 2'
_cell_length_a 7.9639
_cell_length_b 7.9639
_cell_length_c 4.3167
_cell_angle_alpha 90.00
_cell_angle_beta 90.00
_cell_angle_gamma 120.00
loop_
_atom_site_label
_atom_site_type_symbol
_atom_site_fract_x
_atom_site_fract_y
_atom_site_fract_z
_atom_site_occupancy
Sm1 Sm 0.0000 0.0000 0.0000 1
Mg1 Mg 0.1995 0.3990 0.5000 1
Mg2 Mg 0.5336 0.0672 0.0000 1
Ag1 Ag 0.3333 0.6667 0.0000 1
Ag2 Ag 0.3977 0.1989 0.5000 1
```

Properties
**E**: -2.52 eV/atom
**D(E_F)**: 0.559 states/eV per atom

---

no.,E_form (eV/f.u.)
1,2.2
2,11.2
3,-4.8
4,-1.9
5,-2.1